Entry from the Alexandria database: an optimized crystal structure of KTlFeF4 (GGA+U).

ρ   5134 kg/m3
Space-group type   P2_1/m, No. 11
V   121.4 Å³/f.u.
Uncorrected energy   -32.74 eV per formula unit

Structure (POSCAR):
```
KTlFeF4
1.0
6.664 0.000 0.000
0.000 5.700 0.000
-2.530 0.000 6.393
K Tl Fe F
2 2 2 8
Cartesian
-0.270 1.425 0.983
4.404 4.275 5.409
0.925 4.275 3.282
3.209 1.425 3.110
0.316 1.425 5.580
3.818 4.275 0.813
-1.659 1.425 5.015
0.614 1.425 3.507
2.191 2.876 0.661
2.191 5.674 0.661
1.943 0.026 5.732
1.943 2.824 5.732
3.520 4.275 2.885
5.793 4.275 1.378
```